one.
Computed, not measured: a geometry-optimized Sr2Ca3Tl4 structure at the PBE-GGA level of DFT.

Total magnetic moment   0.000 μB per atom

a = 5.6047 Å, b = 5.6152 Å, c = 10.9472 Å
α = 89.85°, β = 90.00°, γ = 60.06°
Fractional coordinates of all 9 atoms:
Ca (0.6658, 0.6685, 0.5880)
Ca (0.0000, 0.0000, 0.0000)
Ca (0.3342, 0.3315, 0.4120)
Tl (0.0012, 0.9973, 0.3524)
Tl (0.3334, 0.3331, 0.0998)
Tl (0.9988, 0.0027, 0.6476)
Tl (0.6666, 0.6669, 0.9002)
Sr (0.3329, 0.3343, 0.7882)
Sr (0.6671, 0.6657, 0.2118)

two.
Computed, not measured: a geometry-optimized Sr2Ca3Tl4 structure at the PBE-GGA level of DFT.

Total magnetic moment   0.000 μB per atom

a = 7.3024 Å, b = 8.4559 Å, c = 10.6215 Å
α = 90.00°, β = 110.11°, γ = 90.00°
Fractional coordinates of all 18 atoms:
Sr (0.0946, 0.5951, 0.1892)
Sr (0.9054, 0.4049, 0.8108)
Sr (0.4054, 0.0951, 0.8108)
Sr (0.5946, 0.9049, 0.1892)
Tl (0.6775, 0.7500, 0.8549)
Tl (0.3225, 0.2500, 0.1451)
Tl (0.3375, 0.4828, 0.6749)
Tl (0.6625, 0.5172, 0.3251)
Tl (0.8225, 0.2500, 0.1451)
Tl (0.8375, 0.0172, 0.6749)
Tl (0.1625, 0.9828, 0.3251)
Tl (0.1775, 0.7500, 0.8549)
Ca (0.9893, 0.2500, 0.4786)
Ca (0.0107, 0.7500, 0.5214)
Ca (0.4893, 0.2500, 0.4786)
Ca (0.5000, 0.5000, 0.0000)
Ca (0.0000, 0.0000, 0.0000)
Ca (0.5107, 0.7500, 0.5214)

Last place for stability: two

one.
Computed, not measured: a geometry-optimized Sr6CaTl structure at the PBE-GGA level of DFT.

Total magnetic moment   0.000 μB per atom

a = 5.8067 Å, b = 8.1927 Å, c = 8.1927 Å
α = 99.14°, β = 90.00°, γ = 90.00°
Fractional coordinates of all 8 atoms:
Sr (0.5000, 0.3282, 0.0666)
Sr (0.0000, 0.1409, 0.3837)
Sr (0.5000, 0.8676, 0.1324)
Sr (0.5000, 0.9334, 0.6718)
Sr (0.0000, 0.6163, 0.8591)
Sr (0.0000, 0.6340, 0.3660)
Tl (0.0000, 0.0618, 0.9382)
Ca (0.5000, 0.4177, 0.5823)

two.
Computed, not measured: a geometry-optimized Sr6CaTl structure at the PBE-GGA level of DFT.

Total magnetic moment   0.000 μB per atom

a = 11.2376 Å, b = 9.8576 Å, c = 7.4657 Å
α = 48.70°, β = 41.15°, γ = 55.15°
Fractional coordinates of all 8 atoms:
Sr (0.2280, 0.0513, 0.3202)
Sr (0.9495, 0.6000, 0.2224)
Sr (0.4003, 0.7718, 0.8789)
Sr (0.7720, 0.9487, 0.6798)
Sr (0.0505, 0.4000, 0.7776)
Sr (0.5997, 0.2282, 0.1211)
Tl (0.0000, 0.0000, 0.0000)
Ca (0.5000, 0.5000, 0.5000)

Last place for stability: two

one.
Computed, not measured: a geometry-optimized Sr4CaTl structure at the PBE-GGA level of DFT.

Total magnetic moment   0.000 μB per atom

a = 7.5228 Å, b = 7.5228 Å, c = 7.5228 Å
α = 60.00°, β = 60.00°, γ = 60.00°
Fractional coordinates of all 6 atoms:
Ca (0.0000, 0.0000, 0.0000)
Sr (0.8745, 0.3752, 0.3752)
Sr (0.3752, 0.3752, 0.3752)
Sr (0.3752, 0.8745, 0.3752)
Sr (0.3752, 0.3752, 0.8745)
Tl (0.7500, 0.7500, 0.7500)

two.
Computed, not measured: a geometry-optimized Sr4CaTl structure at the PBE-GGA level of DFT.

Total magnetic moment   0.000 μB per atom

a = 4.1379 Å, b = 4.1379 Å, c = 16.0841 Å
α = 90.00°, β = 90.00°, γ = 90.00°
Fractional coordinates of all 6 atoms:
Tl (0.5000, 0.5000, 0.5000)
Sr (0.5000, 0.5000, 0.8242)
Sr (0.0000, 0.0000, 0.6241)
Sr (0.5000, 0.5000, 0.1758)
Sr (0.0000, 0.0000, 0.3759)
Ca (0.0000, 0.0000, 0.0000)

Last place for stability: one

one.
Computed, not measured: a geometry-optimized Sr4CaTl2 structure at the PBE-GGA level of DFT.

Total magnetic moment   0.000 μB per atom

a = 5.8629 Å, b = 5.8629 Å, c = 9.9987 Å
α = 72.95°, β = 72.95°, γ = 60.00°
Fractional coordinates of all 7 atoms:
Tl (0.2586, 0.2586, 0.2241)
Tl (0.7414, 0.7414, 0.7759)
Sr (0.1330, 0.1330, 0.6009)
Sr (0.8670, 0.8670, 0.3991)
Sr (0.6123, 0.6123, 0.1632)
Sr (0.3877, 0.3877, 0.8368)
Ca (0.0000, 0.0000, 0.0000)

two.
Computed, not measured: a geometry-optimized Sr4CaTl2 structure at the PBE-GGA level of DFT.

Total magnetic moment   0.000 μB per atom

a = 5.8666 Å, b = 5.8666 Å, c = 11.1844 Å
α = 74.80°, β = 74.80°, γ = 60.00°
Fractional coordinates of all 7 atoms:
Ca (0.5000, 0.5000, 0.5000)
Sr (0.8983, 0.8983, 0.3050)
Sr (0.1017, 0.1017, 0.6950)
Sr (0.2953, 0.2953, 0.1140)
Sr (0.7047, 0.7047, 0.8860)
Tl (0.5971, 0.5971, 0.2086)
Tl (0.4029, 0.4029, 0.7914)

Last place for stability: two

one.
Computed, not measured: a geometry-optimized SrCaTlZn structure at the PBE-GGA level of DFT.

Total magnetic moment   0.000 μB per atom

a = 3.8748 Å, b = 3.8748 Å, c = 7.9168 Å
α = 90.00°, β = 90.00°, γ = 90.00°
Fractional coordinates of all 4 atoms:
Tl (0.0000, 0.0000, 0.8392)
Ca (0.5000, 0.5000, 0.5921)
Zn (0.0000, 0.0000, 0.3769)
Sr (0.5000, 0.5000, 0.1198)

two.
Computed, not measured: a geometry-optimized SrCaTlZn structure at the PBE-GGA level of DFT.

Total magnetic moment   0.000 μB per atom

a = 5.5254 Å, b = 5.5254 Å, c = 5.5254 Å
α = 60.00°, β = 60.00°, γ = 60.00°
Fractional coordinates of all 4 atoms:
Tl (0.5000, 0.5000, 0.5000)
Ca (0.7500, 0.7500, 0.7500)
Sr (0.2500, 0.2500, 0.2500)
Zn (0.0000, 0.0000, 0.0000)

Last place for stability: two

one.
Computed, not measured: a geometry-optimized SrCa2Tm structure at the PBE-GGA level of DFT.

Total magnetic moment   0.000 μB per atom

a = 3.9991 Å, b = 3.9991 Å, c = 10.1817 Å
α = 90.00°, β = 90.00°, γ = 90.00°
Fractional coordinates of all 4 atoms:
Ca (0.0000, 0.0000, 0.7830)
Ca (0.0000, 0.0000, 0.2170)
Tm (0.5000, 0.5000, 0.0000)
Sr (0.5000, 0.5000, 0.5000)

two.
Computed, not measured: a geometry-optimized SrCa2Tm structure at the PBE-GGA level of DFT.

Total magnetic moment   0.040 μB per atom

a = 4.2060 Å, b = 6.1504 Å, c = 6.1504 Å
α = 90.00°, β = 90.00°, γ = 90.00°
Fractional coordinates of all 4 atoms:
Ca (0.0000, 0.5000, 0.0000)
Ca (0.0000, 0.0000, 0.5000)
Sr (0.5000, 0.0000, 0.0000)
Tm (0.5000, 0.5000, 0.5000)

three.
Computed, not measured: a geometry-optimized SrCa2Tm structure at the PBE-GGA level of DFT.

Total magnetic moment   0.238 μB per atom

a = 3.8435 Å, b = 3.8435 Å, c = 12.9237 Å
α = 81.45°, β = 81.45°, γ = 60.00°
Fractional coordinates of all 4 atoms:
Ca (0.2560, 0.2560, 0.2321)
Ca (0.0774, 0.0774, 0.7677)
Tm (0.6669, 0.6669, 0.9994)
Sr (0.4997, 0.4997, 0.5008)

Last place for stability: two

one.
Computed, not measured: a geometry-optimized Sr2CaTm structure at the PBE-GGA level of DFT.

Total magnetic moment   0.000 μB per atom

a = 4.1304 Å, b = 4.1304 Å, c = 10.1555 Å
α = 90.00°, β = 90.00°, γ = 90.00°
Fractional coordinates of all 4 atoms:
Ca (0.5000, 0.5000, 0.5000)
Sr (0.0000, 0.0000, 0.7713)
Sr (0.0000, 0.0000, 0.2287)
Tm (0.5000, 0.5000, 0.0000)

two.
Computed, not measured: a geometry-optimized Sr2CaTm structure at the PBE-GGA level of DFT.

Total magnetic moment   0.118 μB per atom

a = 3.8237 Å, b = 3.8237 Å, c = 13.9573 Å
α = 82.13°, β = 82.13°, γ = 60.00°
Fractional coordinates of all 4 atoms:
Sr (0.9147, 0.9147, 0.2559)
Sr (0.0853, 0.0853, 0.7441)
Tm (0.0000, 0.0000, 0.0000)
Ca (0.5000, 0.5000, 0.5000)

Last place for stability: two

one.
Computed, not measured: a geometry-optimized Sr2CaTm structure at the PBE-GGA level of DFT.

Total magnetic moment   0.000 μB per atom

a = 6.2130 Å, b = 6.2130 Å, c = 6.2130 Å
α = 60.00°, β = 60.00°, γ = 60.00°
Fractional coordinates of all 4 atoms:
Sr (0.7500, 0.7500, 0.7500)
Sr (0.2500, 0.2500, 0.2500)
Ca (0.5000, 0.5000, 0.5000)
Tm (0.0000, 0.0000, 0.0000)

two.
Computed, not measured: a geometry-optimized Sr2CaTm structure at the PBE-GGA level of DFT.

Total magnetic moment   0.275 μB per atom

a = 3.9219 Å, b = 3.9219 Å, c = 13.2204 Å
α = 81.47°, β = 81.47°, γ = 60.00°
Fractional coordinates of all 4 atoms:
Ca (0.5002, 0.5002, 0.4994)
Tm (0.6666, 0.6666, 0.0002)
Sr (0.2544, 0.2544, 0.2367)
Sr (0.0788, 0.0788, 0.7637)

Last place for stability: one

one.
Computed, not measured: a geometry-optimized SrCaTm structure at the PBE-GGA level of DFT.

Total magnetic moment   0.316 μB per atom

a = 3.8391 Å, b = 3.8391 Å, c = 8.6982 Å
α = 102.75°, β = 102.75°, γ = 90.00°
Fractional coordinates of all 3 atoms:
Tm (0.6719, 0.6719, 0.3437)
Sr (0.0077, 0.0077, 0.0154)
Ca (0.3204, 0.3204, 0.6409)

two.
Computed, not measured: a geometry-optimized SrCaTm structure at the PBE-GGA level of DFT.

Total magnetic moment   0.002 μB per atom

a = 5.0987 Å, b = 5.0987 Å, c = 9.7300 Å
α = 90.00°, β = 90.00°, γ = 90.00°
Fractional coordinates of all 6 atoms:
Ca (0.0000, 0.5000, 0.3425)
Ca (0.5000, 0.0000, 0.6575)
Tm (0.0000, 0.5000, 0.7057)
Tm (0.5000, 0.0000, 0.2943)
Sr (0.5000, 0.5000, 0.0000)
Sr (0.0000, 0.0000, 0.0000)

Last place for stability: two

one.
Computed, not measured: a geometry-optimized Sr2CaV structure at the PBE-GGA level of DFT.

Total magnetic moment   1.174 μB per atom

a = 9.6359 Å, b = 9.6359 Å, c = 7.6925 Å
α = 51.22°, β = 51.22°, γ = 90.00°
Fractional coordinates of all 8 atoms:
Ca (0.5000, 0.5000, 0.0000)
Ca (0.2500, 0.7500, 0.5000)
V (0.7500, 0.2500, 0.5000)
V (0.0000, 0.0000, 0.0000)
Sr (0.0726, 0.6250, 0.2500)
Sr (0.8750, 0.9274, 0.7500)
Sr (0.6774, 0.1250, 0.2500)
Sr (0.3750, 0.3226, 0.7500)

two.
Computed, not measured: a geometry-optimized Sr2CaV structure at the PBE-GGA level of DFT.

Total magnetic moment   1.200 μB per atom

a = 6.0046 Å, b = 6.0046 Å, c = 6.0046 Å
α = 60.00°, β = 60.00°, γ = 60.00°
Fractional coordinates of all 4 atoms:
Sr (0.2500, 0.2500, 0.2500)
Sr (0.7500, 0.7500, 0.7500)
V (0.5000, 0.5000, 0.5000)
Ca (0.0000, 0.0000, 0.0000)

Last place for stability: one

one.
Computed, not measured: a geometry-optimized SrCa3V structure at the PBE-GGA level of DFT.

Total magnetic moment   0.876 μB per atom

a = 5.9690 Å, b = 5.9690 Å, c = 5.9690 Å
α = 90.00°, β = 90.00°, γ = 90.00°
Fractional coordinates of all 5 atoms:
Ca (0.0000, 0.5000, 0.0000)
Ca (0.0000, 0.0000, 0.5000)
Ca (0.5000, 0.0000, 0.0000)
Sr (0.5000, 0.5000, 0.5000)
V (0.0000, 0.0000, 0.0000)

two.
Computed, not measured: a geometry-optimized SrCa3V structure at the PBE-GGA level of DFT.

Total magnetic moment   0.195 μB per atom

a = 5.9964 Å, b = 5.9964 Å, c = 5.9964 Å
α = 90.00°, β = 90.00°, γ = 90.00°
Fractional coordinates of all 5 atoms:
Sr (0.0000, 0.0000, 0.0000)
Ca (0.0000, 0.5000, 0.0000)
Ca (0.0000, 0.0000, 0.5000)
Ca (0.5000, 0.0000, 0.0000)
V (0.5000, 0.5000, 0.5000)

Last place for stability: two

one.
Computed, not measured: a geometry-optimized SrCaV2 structure at the PBE-GGA level of DFT.

Total magnetic moment   2.286 μB per atom

a = 5.4927 Å, b = 5.4927 Å, c = 5.4927 Å
α = 60.00°, β = 60.00°, γ = 60.00°
Fractional coordinates of all 4 atoms:
Ca (0.0000, 0.0000, 0.0000)
V (0.7500, 0.7500, 0.7500)
V (0.2500, 0.2500, 0.2500)
Sr (0.5000, 0.5000, 0.5000)

two.
Computed, not measured: a geometry-optimized SrCaV2 structure at the PBE-GGA level of DFT.

Total magnetic moment   1.652 μB per atom

a = 8.5392 Å, b = 8.5392 Å, c = 6.7966 Å
α = 51.08°, β = 51.08°, γ = 90.00°
Fractional coordinates of all 8 atoms:
V (0.1340, 0.6250, 0.2500)
V (0.6160, 0.1250, 0.2500)
V (0.3750, 0.3840, 0.7500)
V (0.8750, 0.8660, 0.7500)
Sr (0.7500, 0.2500, 0.5000)
Sr (0.0000, 0.0000, 0.0000)
Ca (0.2500, 0.7500, 0.5000)
Ca (0.5000, 0.5000, 0.0000)

Last place for stability: two